PBE Be2Br, optimized geometry; calculated volume = 17.2 Å³/atom; E_form (uncorrected) = 0.5427 eV per atom; M_tot = 2.63 μB/cell; energy relative to the lowest polymorph listed for this composition = 1.993 eV per formula unit
1.0
-3.873 -1.833 -3.389
5.089 -1.957 -0.354
-1.848 -5.751 5.223
Be Br
8 4
direct
0.000 0.000 0.000
0.000 0.000 0.500
0.871 0.743 0.250
0.129 0.257 0.750
0.257 0.129 0.250
0.871 0.129 0.250
0.129 0.871 0.750
0.743 0.871 0.750
0.333 0.667 0.942
0.667 0.333 0.442
0.667 0.333 0.058
0.333 0.667 0.558

PBE BeC2Br, optimized geometry; calculated volume = 12.4 Å³/atom; E_form (uncorrected) = 1.8321 eV per atom; M_tot = 0.00 μB/cell; energy relative to the lowest polymorph listed for this composition = 0.000 eV per formula unit
1.0
-0.854 4.451 -0.960
-1.928 0.532 4.179
2.740 3.663 3.366
Be C Br
2 4 2
direct
0.500 0.500 0.000
0.250 0.750 0.500
0.526 0.125 0.250
0.224 0.625 0.250
0.375 0.474 0.750
0.875 0.776 0.750
0.000 0.000 0.000
0.750 0.250 0.500

PBE BeCBr3, optimized geometry; calculated volume = 20.5 Å³/atom; E_form (uncorrected) = 1.3706 eV per atom; M_tot = 0.00 μB/cell
1.0
4.683 0.000 0.000
0.000 4.683 0.000
0.000 0.000 4.683
Be C Br
1 1 3
direct
0.500 0.500 0.500
0.000 0.000 0.000
0.000 0.500 0.000
0.000 0.000 0.500
0.500 0.000 0.000

PBE BeC2Br, optimized geometry; calculated volume = 11.1 Å³/atom; E_form (uncorrected) = 2.9881 eV per atom; M_tot = 0.00 μB/cell; energy relative to the lowest polymorph listed for this composition = 4.624 eV per formula unit
1.0
0.000 2.807 2.807
2.807 0.000 2.807
2.807 2.807 0.000
Be C Br
1 2 1
direct
0.000 0.000 0.000
0.250 0.250 0.250
0.750 0.750 0.750
0.500 0.500 0.500

PBE Be2C2Br, optimized geometry; calculated volume = 12.3 Å³/atom; E_form (uncorrected) = 0.9170 eV per atom; M_tot = 0.00 μB/cell; energy relative to the lowest polymorph listed for this composition = 0.000 eV per formula unit
1.0
6.311 0.000 0.000
0.000 6.311 0.000
0.000 0.000 3.091
Be C Br
4 4 2
direct
0.383 0.883 0.000
0.883 0.617 0.000
0.617 0.117 0.000
0.117 0.383 0.000
0.075 0.575 0.500
0.575 0.925 0.500
0.925 0.425 0.500
0.425 0.075 0.500
0.000 0.000 0.000
0.500 0.500 0.000

PBE Be2C2Br, optimized geometry; calculated volume = 11.3 Å³/atom; E_form (uncorrected) = 1.0418 eV per atom; M_tot = 0.00 μB/cell; energy relative to the lowest polymorph listed for this composition = 0.624 eV per formula unit
1.0
2.979 0.000 0.000
0.000 2.979 0.000
1.490 1.490 6.368
Be C Br
2 2 1
direct
0.335 0.335 0.331
0.665 0.665 0.669
0.750 0.250 0.500
0.250 0.750 0.500
0.000 0.000 0.000

PBE Be2CBr4, optimized geometry; calculated volume = 30.0 Å³/atom; E_form (uncorrected) = 0.5025 eV per atom; M_tot = 1.15 μB/cell
1.0
-1.623 -3.381 -2.982
0.994 -3.360 3.268
-8.703 -2.439 3.652
Be C Br
2 1 4
direct
0.562 0.562 0.876
0.438 0.438 0.124
0.000 0.000 0.000
0.670 0.670 0.661
0.330 0.330 0.339
0.000 0.500 0.000
0.500 0.000 0.000

PBE BeCr2CBr, optimized geometry; calculated volume = 11.7 Å³/atom; E_form (uncorrected) = 0.5096 eV per atom; M_tot = 3.76 μB/cell
1.0
-4.005 -1.164 0.006
0.849 -2.914 1.476
-0.503 1.753 3.751
Cr C Br Be
2 1 1 1
direct
0.000 0.000 0.500
0.500 0.000 0.000
0.000 0.000 0.000
0.500 0.500 0.500
0.000 0.500 0.000

PBE BeGa2CBr, optimized geometry; calculated volume = 17.3 Å³/atom; E_form (uncorrected) = 0.3625 eV per atom; M_tot = 0.00 μB/cell
1.0
-1.561 4.133 2.479
-3.144 -1.191 0.006
0.885 -2.315 4.418
Be C Ga Br
1 1 2 1
direct
0.000 0.500 0.000
0.000 0.000 0.000
0.000 0.000 0.500
0.500 0.000 0.000
0.500 0.500 0.500

PBE BeH12C4S2Br2, optimized geometry; calculated volume = 14.5 Å³/atom; M_tot = 0.00 μB/cell
1.0
-3.410 -10.032 -1.132
9.631 -3.012 -2.325
1.999 -1.890 10.728
Be H C S Br
4 48 16 8 8
direct
0.185 0.500 0.250
0.315 0.000 0.750
0.815 0.500 0.750
0.685 0.000 0.250
0.941 0.229 0.397
0.559 0.271 0.897
0.559 0.729 0.603
0.941 0.771 0.103
0.059 0.771 0.603
0.441 0.729 0.103
0.441 0.271 0.397
0.059 0.229 0.897
0.073 0.317 0.457
0.427 0.183 0.957
0.427 0.817 0.543
0.073 0.683 0.043
0.927 0.683 0.543
0.573 0.817 0.043
0.573 0.183 0.457
0.927 0.317 0.957
0.932 0.401 0.415
0.568 0.099 0.915
0.568 0.901 0.585
0.932 0.599 0.085
0.068 0.599 0.585
0.432 0.901 0.085
0.432 0.099 0.415
0.068 0.401 0.915
0.212 0.190 0.300
0.288 0.310 0.800
0.288 0.690 0.700
0.212 0.810 0.200
0.788 0.810 0.700
0.712 0.690 0.200
0.712 0.310 0.300
0.788 0.190 0.800
0.198 0.209 0.139
0.302 0.291 0.639
0.302 0.709 0.861
0.198 0.791 0.361
0.802 0.791 0.861
0.698 0.709 0.361
0.698 0.291 0.139
0.802 0.209 0.639
0.084 0.115 0.219
0.416 0.385 0.719
0.416 0.615 0.781
0.084 0.885 0.281
0.916 0.885 0.781
0.584 0.615 0.281
0.584 0.385 0.219
0.916 0.115 0.719
0.994 0.320 0.394
0.506 0.180 0.894
0.506 0.820 0.606
0.994 0.680 0.106
0.006 0.680 0.606
0.494 0.820 0.106
0.494 0.180 0.394
0.006 0.320 0.894
0.146 0.199 0.224
0.354 0.301 0.724
0.354 0.699 0.776
0.146 0.801 0.276
0.854 0.801 0.776
0.646 0.699 0.276
0.646 0.301 0.224
0.854 0.199 0.724
0.051 0.342 0.242
0.449 0.158 0.742
0.449 0.842 0.758
0.051 0.658 0.258
0.949 0.658 0.758
0.551 0.842 0.258
0.551 0.158 0.242
0.949 0.342 0.742
0.288 0.495 0.085
0.212 0.005 0.585
0.212 0.995 0.915
0.288 0.505 0.415
0.712 0.505 0.915
0.788 0.995 0.415
0.788 0.005 0.085
0.712 0.495 0.585

PBE Mg2BeCBr, optimized geometry; calculated volume = 22.0 Å³/atom; E_form (uncorrected) = 1.7244 eV per atom; M_tot = 0.25 μB/cell
1.0
-0.595 2.288 4.414
-4.105 1.097 -1.122
-1.686 -4.275 1.988
Be Mg C Br
1 2 1 1
direct
0.500 0.500 0.500
0.000 0.000 0.500
0.500 0.000 0.000
0.000 0.500 0.000
0.000 0.000 0.000

PBE BePdCBr, optimized geometry; calculated volume = 18.2 Å³/atom; E_form (uncorrected) = 0.2832 eV per atom; M_tot = 0.00 μB/cell; energy relative to the lowest polymorph listed for this composition = 0.000 eV per formula unit
1.0
3.336 0.000 0.000
1.667 2.890 0.000
0.979 0.064 7.564
Be C Br Pd
1 1 1 1
direct
0.575 0.948 0.302
0.511 0.943 0.526
0.953 0.285 0.144
0.153 0.607 0.612

Number 1: uncorrected energy -29.99 eV for the cell shown. Number 2: uncorrected energy -33.04 eV for the cell shown. Number 3: uncorrected energy -11.12 eV for the cell shown. Number 4: uncorrected energy -11.89 eV for the cell shown. Number 5: uncorrected energy -45.98 eV for the cell shown. Number 6: uncorrected energy -22.36 eV for the cell shown. Number 7: uncorrected energy -19.85 eV for the cell shown. Number 8: uncorrected energy -31.32 eV for the cell shown. Number 9: uncorrected energy -18.86 eV for the cell shown. Number 10: uncorrected energy -397.73 eV for the cell shown. Number 11: uncorrected energy -9.19 eV for the cell shown. Number 12: uncorrected energy -18.68 eV for the cell shown.